Entry from the Alexandria database: a relaxed Y8GeSe6 crystal (GGA-PBE).

a = 4.065 Å, b = 10.450 Å, c = 10.450 Å
α = 120.00°, β = 90.00°, γ = 90.00°
Positions (direct):
Y (0.744, 0.968, 0.276)
Y (0.744, 0.724, 0.692)
Y (0.744, 0.308, 0.032)
Y (0.256, 0.032, 0.724)
Y (0.256, 0.276, 0.308)
Y (0.256, 0.692, 0.968)
Y (0.747, 0.333, 0.667)
Y (0.253, 0.667, 0.333)
Ge (0.500, 0.000, 0.000)
Se (0.751, 0.650, 0.130)
Se (0.751, 0.870, 0.520)
Se (0.751, 0.480, 0.350)
Se (0.249, 0.350, 0.870)
Se (0.249, 0.130, 0.480)
Se (0.249, 0.520, 0.650)

## Properties
Energy relative to the elements, uncorrected (eV/atom): -1.32

Entry from the Alexandria database: a relaxed Y2GeSe crystal (GGA-PBE).

a = 4.092 Å, b = 4.092 Å, c = 7.485 Å
α = 74.14°, β = 74.14°, γ = 60.00°
Positions (direct):
Y (0.077, 0.077, 0.770)
Y (0.257, 0.257, 0.228)
Ge (0.668, 0.668, 0.997)
Se (0.498, 0.498, 0.506)

## Properties
E above lowest polymorph (meV per atom): 109
Energy relative to the elements, uncorrected (eV/atom): -1.30

Entry from the Alexandria database: a relaxed Y3GeSe2 crystal (GGA-PBE).

a = 4.136 Å, b = 5.814 Å, c = 7.141 Å
α = 114.02°, β = 106.84°, γ = 90.00°
Positions (direct):
Y (0.841, 0.341, 0.182)
Y (0.159, 0.659, 0.818)
Y (0.500, 0.000, 0.500)
Ge (0.500, 0.500, 0.500)
Se (0.831, 0.831, 0.163)
Se (0.169, 0.169, 0.837)

## Properties
Energy relative to the elements, uncorrected (eV/atom): -1.59

- Which of these has the lowest energy relative to the elements, uncorrected?
  Y3GeSe2